TcI2 after structural relaxation, computed with PBE.

Values from the calculation:
Relative energy among the computed polymorphs ... 1712 meV/atom

abc: 6.7038 6.7038 6.7038
angles: 60.00 60.00 60.00
With the nearest neighbours (Å) after each atom.
Positions (direct):
I1 0.6250 0.6250 0.1250  6 I 3.35
I2 0.6250 0.1250 0.6250  6 I 3.35
I3 0.1250 0.6250 0.6250  6 I 3.35
I4 0.6250 0.6250 0.6250  6 I 3.35
Tc1 0.0000 0.0000 0.0000  12 I 3.93, 4 Tc 4.11
Tc2 0.2500 0.2500 0.2500  12 I 3.93, 4 Tc 4.11